Record 1
# Li3LaIn2 PBE optimized geometry
data_Li3LaIn2
_cell_length_a 14.319
_cell_length_b 4.720
_cell_length_c 9.493
_cell_angle_alpha 90.00
_cell_angle_beta 119.91
_cell_angle_gamma 90.00
_space_group_name_H-M_alt 'C 1 2/m 1'
_space_group_IT_number 12
loop_
_space_group_symop_operation_xyz
'x,y,z'
'-x,-y,-z'
'-x,y,-z'
'x,-y,z'
'x+1/2,y+1/2,z'
'-x+1/2,-y+1/2,-z'
'-x+1/2,y+1/2,-z'
'x+1/2,-y+1/2,z'
loop_
_atom_site_label
_atom_site_type_symbol
_atom_site_fract_x
_atom_site_fract_y
_atom_site_fract_z
_atom_site_occupancy
Li1 Li 0.047 0.000 0.394 1
Li2 Li 0.087 0.500 0.678 1
Li3 Li 0.249 0.500 0.577 1
La1 La 0.126 0.000 0.004 1
In1 In 0.074 0.500 0.225 1
In2 In 0.207 0.000 0.730 1
# * energy relative to the elements: -0.314 eV per atom
# * crystal system: monoclinic
# * size of the total moment: 0.00 μB per formula unit

***

Record 2
# HfZrN PBE optimized geometry
data_HfZrN
_cell_length_a 3.2691
_cell_length_b 3.2691
_cell_length_c 5.2307
_cell_angle_alpha 90.00
_cell_angle_beta 90.00
_cell_angle_gamma 120.00
_space_group_name_H-M_alt 'P 3 m 1'
_space_group_IT_number 156
loop_
_space_group_symop_operation_xyz
'x,y,z'
'-y,x-y,z'
'-x+y,-x,z'
'-y,-x,z'
'-x+y,y,z'
'x,x-y,z'
loop_
_atom_site_label
_atom_site_type_symbol
_atom_site_fract_x
_atom_site_fract_y
_atom_site_fract_z
_atom_site_occupancy
Hf1 Hf 0.0000 0.0000 0.0000 1
Zr1 Zr 0.6667 0.3333 0.4868 1
N1 N 0.3333 0.6667 0.2329 1
# * crystal system: trigonal
# * size of the total moment: 0.00 μB per formula unit

***

Record 3
# Nd3GaNi4 PBE optimized geometry
data_Nd3GaNi4
_cell_length_a 4.210
_cell_length_b 5.231
_cell_length_c 15.336
_cell_angle_alpha 90.00
_cell_angle_beta 90.00
_cell_angle_gamma 90.00
_space_group_name_H-M_alt 'I m m m'
_space_group_IT_number 71
_space_group_name_Hall '-I 2 2'
loop_
_atom_site_label
_atom_site_type_symbol
_atom_site_fract_x
_atom_site_fract_y
_atom_site_fract_z
_atom_site_occupancy
Nd1 Nd 0.000 0.000 0.000 1
Nd2 Nd 0.000 0.500 0.194 1
Ga1 Ga 0.000 0.000 0.500 1
Ni1 Ni 0.000 0.279 0.379 1
# * energy relative to the elements: -0.284 eV per atom
# * crystal system: orthorhombic
# * size of the total moment: 0.00 μB per formula unit

***

Record 4
# Li10AsAu6 PBE optimized geometry
data_Li10AsAu6
_cell_length_a 7.7398
_cell_length_b 7.7398
_cell_length_c 5.3782
_cell_angle_alpha 90.00
_cell_angle_beta 90.00
_cell_angle_gamma 120.00
_space_group_name_H-M_alt 'P -3 1 m'
_space_group_IT_number 162
_space_group_name_Hall '-P 3 2'
loop_
_atom_site_label
_atom_site_type_symbol
_atom_site_fract_x
_atom_site_fract_y
_atom_site_fract_z
_atom_site_occupancy
Li1 Li 0.0000 0.2738 0.2857 1
Li2 Li 0.3333 0.6667 0.0000 1
Li3 Li 0.3333 0.6667 0.5000 1
As1 As 0.0000 0.0000 0.0000 1
Au1 Au 0.0000 0.3867 0.7793 1
# * energy relative to the elements: -0.459 eV per atom
# * crystal system: trigonal
# * size of the total moment: 0.00 μB per formula unit

***

Record 5
# YEr2S2 PBE optimized geometry
data_YEr2S2
_cell_length_a 3.7966
_cell_length_b 3.7966
_cell_length_c 28.4286
_cell_angle_alpha 90.00
_cell_angle_beta 90.00
_cell_angle_gamma 120.00
_space_group_name_H-M_alt 'R -3 m'
_space_group_IT_number 166
_space_group_name_Hall '-R 3 2"'
loop_
_atom_site_label
_atom_site_type_symbol
_atom_site_fract_x
_atom_site_fract_y
_atom_site_fract_z
_atom_site_occupancy
Y1 Y 0.0000 0.0000 0.0000 1
Er1 Er 0.0000 0.0000 0.2158 1
S1 S 0.0000 0.0000 0.3918 1
# * crystal system: trigonal
# * size of the total moment: 0.51 μB per formula unit

***

Record 6
# LaPm4Nd3 PBE optimized geometry
data_LaPm4Nd3
_cell_length_a 11.911
_cell_length_b 7.420
_cell_length_c 6.420
_cell_angle_alpha 90.00
_cell_angle_beta 90.00
_cell_angle_gamma 90.00
_space_group_name_H-M_alt 'P m n 21'
_space_group_IT_number 31
loop_
_space_group_symop_operation_xyz
'x,y,z'
'-x+1/2,-y,z+1/2'
'-x,y,z'
'x+1/2,-y,z+1/2'
loop_
_atom_site_label
_atom_site_type_symbol
_atom_site_fract_x
_atom_site_fract_y
_atom_site_fract_z
_atom_site_occupancy
La1 La 0.000 0.125 0.000 1
Pm1 Pm 0.000 0.376 0.498 1
Pm2 Pm 0.000 0.624 0.999 1
Pm3 Pm 0.249 0.624 0.667 1
Nd1 Nd 0.000 0.873 0.499 1
Nd2 Nd 0.250 0.126 0.667 1
# * energy relative to the elements: 0.034 eV per atom
# * crystal system: orthorhombic
# * size of the total moment: 0.00 μB per formula unit

***

Record 7
# ReW PBE optimized geometry
data_ReW
_cell_length_a 7.865
_cell_length_b 7.865
_cell_length_c 7.865
_cell_angle_alpha 90.00
_cell_angle_beta 90.00
_cell_angle_gamma 90.00
_space_group_name_H-M_alt 'I -4 3 m'
_space_group_IT_number 217
_space_group_name_Hall 'I -4 2 3'
loop_
_atom_site_label
_atom_site_type_symbol
_atom_site_fract_x
_atom_site_fract_y
_atom_site_fract_z
_atom_site_occupancy
Re1 Re 0.131 0.131 0.869 1
W1 W 0.177 0.177 0.177 1
# * energy relative to the elements: 2.261 eV per atom
# * crystal system: cubic
# * size of the total moment: 0.00 μB per formula unit

***

Record 8
# P2HICl PBE optimized geometry
data_P2HICl
_cell_length_a 3.852
_cell_length_b 3.852
_cell_length_c 8.387
_cell_angle_alpha 90.00
_cell_angle_beta 90.00
_cell_angle_gamma 90.00
_space_group_name_H-M_alt 'P 4/m m m'
_space_group_IT_number 123
_space_group_name_Hall '-P 4 2'
loop_
_atom_site_label
_atom_site_type_symbol
_atom_site_fract_x
_atom_site_fract_y
_atom_site_fract_z
_atom_site_occupancy
P1 P 0.000 0.500 0.000 1
H1 H 0.000 0.000 0.000 1
I1 I 0.500 0.500 0.500 1
Cl1 Cl 0.000 0.000 0.500 1
# * crystal system: tetragonal
# * size of the total moment: 0.00 μB per formula unit

***

Record 9
# CrCoHgC2 PBE optimized geometry
data_CrCoHgC2
_cell_length_a 4.199
_cell_length_b 4.199
_cell_length_c 4.846
_cell_angle_alpha 90.00
_cell_angle_beta 90.00
_cell_angle_gamma 90.00
_space_group_name_H-M_alt 'P 4/m m m'
_space_group_IT_number 123
_space_group_name_Hall '-P 4 2'
loop_
_atom_site_label
_atom_site_type_symbol
_atom_site_fract_x
_atom_site_fract_y
_atom_site_fract_z
_atom_site_occupancy
Cr1 Cr 0.000 0.000 0.000 1
Co1 Co 0.500 0.500 0.000 1
Hg1 Hg 0.500 0.500 0.500 1
C1 C 0.000 0.500 0.500 1
# * energy relative to the elements: 3.030 eV per atom
# * crystal system: tetragonal
# * size of the total moment: 3.59 μB per formula unit

***

Record 10
# Ba6Pt3Pb PBE optimized geometry
data_Ba6Pt3Pb
_cell_length_a 13.254
_cell_length_b 4.683
_cell_length_c 13.680
_cell_angle_alpha 90.00
_cell_angle_beta 108.23
_cell_angle_gamma 90.00
_space_group_name_H-M_alt 'P 1 21/m 1'
_space_group_IT_number 11
loop_
_space_group_symop_operation_xyz
'x,y,z'
'-x,-y,-z'
'-x,y+1/2,-z'
'x,-y+1/2,z'
loop_
_atom_site_label
_atom_site_type_symbol
_atom_site_fract_x
_atom_site_fract_y
_atom_site_fract_z
_atom_site_occupancy
Ba1 Ba 0.027 0.250 0.390 1
Ba2 Ba 0.108 0.250 0.946 1
Ba3 Ba 0.213 0.750 0.262 1
Ba4 Ba 0.291 0.750 0.757 1
Ba5 Ba 0.364 0.250 0.532 1
Ba6 Ba 0.423 0.750 0.086 1
Pt1 Pt 0.048 0.250 0.162 1
Pt2 Pt 0.182 0.750 0.498 1
Pt3 Pt 0.339 0.250 0.916 1
Pb1 Pb 0.446 0.250 0.296 1
# * energy relative to the elements: -0.622 eV per atom
# * crystal system: monoclinic
# * size of the total moment: 0.00 μB per formula unit

***

Record 11
# La2SnHPt PBE optimized geometry
data_La2SnHPt
_cell_length_a 5.491
_cell_length_b 5.491
_cell_length_c 3.780
_cell_angle_alpha 90.00
_cell_angle_beta 90.00
_cell_angle_gamma 90.00
_space_group_name_H-M_alt 'P 4/m m m'
_space_group_IT_number 123
_space_group_name_Hall '-P 4 2'
loop_
_atom_site_label
_atom_site_type_symbol
_atom_site_fract_x
_atom_site_fract_y
_atom_site_fract_z
_atom_site_occupancy
La1 La 0.000 0.500 0.000 1
Sn1 Sn 0.000 0.000 0.500 1
H1 H 0.500 0.500 0.000 1
Pt1 Pt 0.500 0.500 0.500 1
# * crystal system: tetragonal
# * size of the total moment: 0.00 μB per formula unit

***

Record 12
# Ho2ThUC4 PBE optimized geometry
data_Ho2ThUC4
_cell_length_a 6.195
_cell_length_b 3.653
_cell_length_c 6.308
_cell_angle_alpha 90.00
_cell_angle_beta 109.72
_cell_angle_gamma 90.00
_space_group_name_H-M_alt 'P 1 2/m 1'
_space_group_IT_number 10
loop_
_space_group_symop_operation_xyz
'x,y,z'
'-x,-y,-z'
'-x,y,-z'
'x,-y,z'
loop_
_atom_site_label
_atom_site_type_symbol
_atom_site_fract_x
_atom_site_fract_y
_atom_site_fract_z
_atom_site_occupancy
Ho1 Ho 0.000 0.000 0.000 1
Ho2 Ho 0.000 0.500 0.500 1
Th1 Th 0.500 0.000 0.500 1
U1 U 0.500 0.500 0.000 1
C1 C 0.270 0.500 0.226 1
C2 C 0.271 0.000 0.773 1
# * energy relative to the elements: -0.244 eV per atom
# * crystal system: monoclinic
# * size of the total moment: 0.00 μB per formula unit

***

| no. | electronic total energy (eV per atom) |
| --- | --- |
| 1 | -3.005 |
| 2 | -10.151 |
| 3 | -5.341 |
| 4 | -3.015 |
| 5 | -6.335 |
| 6 | -4.745 |
| 7 | -10.440 |
| 8 | -2.680 |
| 9 | -4.066 |
| 10 | -3.959 |
| 11 | -5.363 |
| 12 | -8.339 |